# TbNd2Y3S6

TbNd2Y3S6 after structural relaxation (GGA-PBE, the Alexandria database).

Computed properties:
**Formation energy without anion corrections**: -24.107 eV/f.u.

```
data_TbNd2Y3S6
_space_group_name_H-M_alt 'P 1'
_space_group_IT_number 1
_cell_length_a 8.8786
_cell_length_b 8.8786
_cell_length_c 7.9950
_cell_angle_alpha 103.37
_cell_angle_beta 103.37
_cell_angle_gamma 25.71
loop_
_space_group_symop_operation_xyz
'x,y,z'
loop_
_atom_site_label
_atom_site_fract_x
_atom_site_fract_y
_atom_site_fract_z
Tb1 0.0000 0.0000 0.0000
Nd1 0.3326 0.3326 0.6650
Nd2 0.6674 0.6674 0.3350
Y1 0.0000 0.0000 0.5000
Y2 0.3315 0.3315 0.1669
Y3 0.6685 0.6685 0.8331
S1 0.1631 0.1631 0.5915
S2 0.1660 0.1660 0.0733
S3 0.4964 0.4964 0.2485
S4 0.5036 0.5036 0.7515
S5 0.8340 0.8340 0.9267
S6 0.8369 0.8369 0.4085
```

***

# HoTmMg

HoTmMg after structural relaxation (GGA-PBE, the Alexandria database).

Computed properties:
**Formation energy**: -0.031 eV/atom

```
data_HoTmMg
_space_group_name_H-M_alt 'P 1'
_space_group_IT_number 1
_cell_length_a 3.5909
_cell_length_b 3.5909
_cell_length_c 13.1322
_cell_angle_alpha 90.00
_cell_angle_beta 90.00
_cell_angle_gamma 90.00
loop_
_space_group_symop_operation_xyz
'x,y,z'
loop_
_atom_site_label
_atom_site_fract_x
_atom_site_fract_y
_atom_site_fract_z
Ho1 0.0000 0.0000 0.0000
Ho2 0.5000 0.5000 0.5000
Tm1 0.0000 0.0000 0.3223
Tm2 0.5000 0.5000 0.8223
Mg1 0.0000 0.0000 0.6626
Mg2 0.5000 0.5000 0.1626
```

***

# Pu3Zn5Au6

Pu3Zn5Au6 after structural relaxation (GGA-PBE, the Alexandria database).

Computed properties:
**Formation energy**: -0.348 eV/atom

```
data_Pu3Zn5Au6
_space_group_name_H-M_alt 'P 1'
_space_group_IT_number 1
_cell_length_a 4.5347
_cell_length_b 13.3226
_cell_length_c 9.2850
_cell_angle_alpha 90.00
_cell_angle_beta 90.00
_cell_angle_gamma 90.00
loop_
_space_group_symop_operation_xyz
'x,y,z'
loop_
_atom_site_label
_atom_site_fract_x
_atom_site_fract_y
_atom_site_fract_z
Pu1 0.2500 0.0446 0.2489
Pu2 0.2500 0.4554 0.2489
Pu3 0.2500 0.7500 0.2550
Pu4 0.7500 0.2500 0.7450
Pu5 0.7500 0.5446 0.7511
Pu6 0.7500 0.9554 0.7511
Zn1 0.2500 0.0844 0.6018
Zn2 0.2500 0.4156 0.6018
Zn3 0.2500 0.6164 0.9653
Zn4 0.2500 0.7500 0.7512
Zn5 0.2500 0.8836 0.9653
Zn6 0.7500 0.1164 0.0347
Zn7 0.7500 0.2500 0.2488
Zn8 0.7500 0.3836 0.0347
Zn9 0.7500 0.5844 0.3982
Zn10 0.7500 0.9156 0.3982
Au1 0.2500 0.0870 0.8815
Au2 0.2500 0.2500 0.0804
Au3 0.2500 0.2500 0.4372
Au4 0.2500 0.4130 0.8815
Au5 0.2500 0.6133 0.5371
Au6 0.2500 0.8867 0.5371
Au7 0.7500 0.1133 0.4629
Au8 0.7500 0.3867 0.4629
Au9 0.7500 0.5870 0.1185
Au10 0.7500 0.7500 0.5628
Au11 0.7500 0.7500 0.9196
Au12 0.7500 0.9130 0.1185
```

***

# Ce4Si3Ir

Ce4Si3Ir after structural relaxation (GGA-PBE, the Alexandria database).

Computed properties:
**Formation energy without anion corrections**: -5.534 eV/f.u.

```
data_Ce4Si3Ir
_space_group_name_H-M_alt 'P 1'
_space_group_IT_number 1
_cell_length_a 3.9852
_cell_length_b 4.2442
_cell_length_c 10.8671
_cell_angle_alpha 90.00
_cell_angle_beta 90.00
_cell_angle_gamma 90.00
loop_
_space_group_symop_operation_xyz
'x,y,z'
loop_
_atom_site_label
_atom_site_fract_x
_atom_site_fract_y
_atom_site_fract_z
Ce1 0.0000 0.0000 0.0000
Ce2 0.0000 0.5000 0.4934
Ce3 0.5000 0.0000 0.2812
Ce4 0.5000 0.5000 0.7854
Si1 0.0000 0.0000 0.7073
Si2 0.0000 0.5000 0.2060
Si3 0.5000 0.0000 0.5700
Ir1 0.5000 0.5000 0.0610
```